Ni3Ag3IO8 | GGA+U | relaxed

Unit cell a=10.6013 b=6.1893 c=7.5223 alpha=90.00 beta=123.43 gamma=90.00
Space group C2/m (No. 12)
Unique sites:
Ni 0.0000 0.0000 0.0000 [2 per cell]
Ni 0.2500 0.2500 0.0000 [4 per cell]
Ag 0.0000 0.0000 0.5000 [2 per cell]
Ag 0.2500 0.2500 0.5000 [4 per cell]
I 0.0000 0.5000 0.0000 [2 per cell]
O 0.0814 0.5000 0.8318 [4 per cell]
O 0.1050 0.0000 0.8385 [4 per cell]
O 0.1419 0.2687 0.1650 [8 per cell]

DFT total energy	-131.2	eV/cell